First-principles (PBE) data for Zr4SiNi after structural relaxation, as listed in the Alexandria database.

Total moment: 0.00 μB per atom
Raw total energy: -7.06 eV per atom
ρ: 6.136 g/cm³
Symmetry: F-43m

a b c (Å): 5.5706 5.5706 5.5706
angles (deg): 60.00 60.00 60.00
Closest atoms and distances in Å follow each position.
Sites, in units of the cell vectors:
Zr 0.8759 0.3747 0.3747  6 Zr 2.78-2.79
Zr 0.3747 0.3747 0.8759  6 Zr 2.78-2.79
Zr 0.3747 0.8759 0.3747  6 Zr 2.78-2.79
Zr 0.3747 0.3747 0.3747  6 Zr 2.78-2.79
Si 0.0000 0.0000 0.0000  12 Zr 3.27, 4 Ni 3.41
Ni 0.7500 0.7500 0.7500  12 Zr 3.27, 4 Si 3.41

First-principles (PBE) data for Tb7DyMg4 after structural relaxation, as listed in the Alexandria database.

Total moment: 0.02 μB per atom
Raw total energy: -3.45 eV per atom
ρ: 6.369 g/cm³
Formation energy: 15.9 kJ/mol of atoms
Symmetry: C2/m

a b c (Å): 5.7454 9.0718 8.0836
angles (deg): 68.44 69.18 71.54
Closest atoms and distances in Å follow each position.
Sites, in units of the cell vectors:
Tb 0.7988 0.8775 0.5249  7 Tb 3.52-3.76, 4 Mg 3.52-3.90, 1 Dy 3.80
Tb 0.2012 0.1225 0.4751  7 Tb 3.52-3.76, 4 Mg 3.52-3.90, 1 Dy 3.80
Tb 0.0800 0.5753 0.2647  5 Mg 3.16-3.47, 2 Tb 3.42-3.46
Tb 0.9200 0.4247 0.7353  5 Mg 3.16-3.47, 2 Tb 3.42-3.46
Tb 0.2510 0.7116 0.7863  4 Mg 3.07-3.25, 1 Dy 3.33
Tb 0.5000 0.0000 0.0000  2 Dy 2.87, 2 Mg 2.98
Tb 0.7490 0.2884 0.2137  4 Mg 3.07-3.25, 1 Dy 3.33
Dy 0.0000 0.0000 0.0000  2 Tb 2.87
Mg 0.5415 0.3023 0.6147  4 Tb 3.07-3.30, 2 Mg 3.07-3.35
Mg 0.4585 0.6977 0.3853  4 Tb 3.07-3.30, 2 Mg 3.07-3.35
Mg 0.6749 0.6543 0.9959  5 Tb 2.98-3.25, 1 Mg 3.07
Mg 0.3251 0.3457 0.0041  5 Tb 2.98-3.25, 1 Mg 3.07

First-principles (PBE) data for TlIrPtO6 after structural relaxation, as listed in the Alexandria database.

Total moment: 0.04 μB per atom
Raw total energy: -5.78 eV per atom
ρ: 8.757 g/cm³
Symmetry: Imma

a b c (Å): 7.0894 7.2757 7.1668
angles (deg): 120.50 119.64 90.00
Closest atoms and distances in Å follow each position.
Sites, in units of the cell vectors:
Tl 0.8656 0.6156 0.7313  6 O 3.00-3.06
Tl 0.1344 0.3844 0.2687  6 O 3.00-3.06
Ir 0.5000 0.5000 0.0000  6 O 1.92-1.93
Ir 0.5000 0.0000 0.0000  6 O 1.92-1.93
Pt 0.5000 0.0000 0.5000  6 O 1.98-2.00
Pt 0.0000 0.0000 0.5000  6 O 1.98-2.00
O 0.4368 0.6868 0.8736  2 Ir 1.93
O 0.8378 0.0878 0.6756  2 Pt 1.98
O 0.8226 0.0867 0.2558  1 Ir 1.92, 1 Pt 2.00
O 0.4332 0.6691 0.2558  1 Ir 1.92, 1 Pt 2.00
O 0.4332 0.0867 0.2558  1 Ir 1.92, 1 Pt 2.00
O 0.8226 0.6691 0.2558  1 Ir 1.92, 1 Pt 2.00
O 0.5632 0.3132 0.1264  2 Ir 1.93
O 0.1622 0.9122 0.3244  2 Pt 1.98
O 0.1774 0.9133 0.7442  1 Ir 1.92, 1 Pt 2.00
O 0.5668 0.3309 0.7442  1 Ir 1.92, 1 Pt 2.00
O 0.5668 0.9133 0.7442  1 Ir 1.92, 1 Pt 2.00
O 0.1774 0.3309 0.7442  1 Ir 1.92, 1 Pt 2.00

First-principles (PBE) data for TcCl3 after structural relaxation, as listed in the Alexandria database.

Total moment: 1.00 μB per atom
Raw total energy: -3.46 eV per atom
ρ: 4.326 g/cm³
Symmetry: Fm-3m

a b c (Å): 4.8049 4.8049 4.8049
angles (deg): 60.00 60.00 60.00
Closest atoms and distances in Å follow each position.
Sites, in units of the cell vectors:
Tc 0.5000 0.5000 0.5000  8 Cl 2.94
Cl 0.2500 0.2500 0.2500  4 Cl 2.94, 4 Tc 2.94
Cl 0.7500 0.7500 0.7500  4 Tc 2.94, 4 Cl 2.94
Cl 0.0000 0.0000 0.0000  8 Cl 2.94

The highest raw total energy belongs to which entry? Tb7DyMg4